No. 1
DFT (GGA-PBE) results for a relaxed NaLiSN2 crystal.

Computed properties:
* space group: P4/mmm (123)
* distance to the lowest polymorph of the same formula: 0.00 eV/f.u.
* E: -17.52 eV for the cell shown
* E_form (uncorrected): 1298 meV per atom

Cell: 4.2184 4.2184 4.6021 Å, 90.00 90.00 90.00°
With the nearest neighbours (Å) after each atom.
Fractional positions:
N: 0.0000 0.5000 0.0000  2 Li 2.11
Na: 0.5000 0.5000 0.5000  4 S 2.98, 8 N 3.12
N: 0.5000 0.0000 0.0000  2 Li 2.11
S: 0.0000 0.0000 0.5000  2 Li 2.30
Li: 0.0000 0.0000 0.0000  4 N 2.11, 2 S 2.30

No. 2
DFT (GGA-PBE) results for a relaxed NaLiSN2 crystal.

Computed properties:
* space group: P4/mmm (123)
* distance to the lowest polymorph of the same formula: 1.50 eV/f.u.
* E: -16.02 eV for the cell shown
* E_form (uncorrected): 1599 meV per atom

Cell: 4.5504 4.5504 5.3256 Å, 90.00 90.00 90.00°
With the nearest neighbours (Å) after each atom.
Fractional positions:
Li: 0.5000 0.5000 0.5000  4 S 3.22, 8 N 3.50
N: 0.0000 0.5000 0.0000  2 Na 2.28
N: 0.5000 0.0000 0.0000  2 Na 2.28
Na: 0.0000 0.0000 0.0000  4 N 2.28
S: 0.0000 0.0000 0.5000  2 Na 2.66

No. 3
DFT (GGA-PBE) results for a relaxed NaLiSeN2 crystal.

Computed properties:
* space group: P4/mmm (123)
* distance to the lowest polymorph of the same formula: 1.34 eV/f.u.
* E: -15.67 eV for the cell shown
* E_form (uncorrected): 1540 meV per atom

Cell: 4.5689 4.5689 5.6054 Å, 90.00 90.00 90.00°
With the nearest neighbours (Å) after each atom.
Fractional positions:
N: 0.0000 0.5000 0.0000  2 Na 2.28
N: 0.5000 0.0000 0.0000  2 Na 2.28
Li: 0.5000 0.5000 0.5000  4 Se 3.23, 8 N 3.62
Se: 0.0000 0.0000 0.5000  2 Na 2.80
Na: 0.0000 0.0000 0.0000  4 N 2.28

No. 4
DFT (GGA-PBE) results for a relaxed NaLiSeN2 crystal.

Computed properties:
* space group: P4/mmm (123)
* distance to the lowest polymorph of the same formula: 0.00 eV/f.u.
* E: -17.01 eV for the cell shown
* E_form (uncorrected): 1272 meV per atom

Cell: 4.2557 4.2557 4.8758 Å, 90.00 90.00 90.00°
With the nearest neighbours (Å) after each atom.
Fractional positions:
N: 0.5000 0.0000 0.0000  2 Li 2.13
Li: 0.0000 0.0000 0.0000  4 N 2.13
Na: 0.5000 0.5000 0.5000  4 Se 3.01, 8 N 3.24
Se: 0.0000 0.0000 0.5000  2 Li 2.44
N: 0.0000 0.5000 0.0000  2 Li 2.13

No. 5
DFT (GGA-PBE) results for a relaxed NaSr2LiN crystal.

Computed properties:
* space group: P4/mmm (123)
* E: -15.62 eV for the cell shown
* E_form (uncorrected): -139 meV per atom

Cell: 5.4247 5.4247 4.5072 Å, 90.00 90.00 90.00°
With the nearest neighbours (Å) after each atom.
Fractional positions:
Li: 0.0000 0.0000 0.5000  2 N 2.25
Sr: 0.0000 0.5000 0.0000  2 N 2.71
Na: 0.5000 0.5000 0.5000  8 Sr 3.53, 4 Li 3.84
Sr: 0.5000 0.0000 0.0000  2 N 2.71
N: 0.0000 0.0000 0.0000  2 Li 2.25

No. 6
DFT (GGA-PBE) results for a relaxed NaLiTcN2 crystal.

Computed properties:
* space group: C2/m (12)
* E: -62.91 eV for the cell shown
* E_form (uncorrected): -241 meV per atom

Cell: 3.4719 5.9695 6.8312 Å, 99.44 90.00 106.91°
With the nearest neighbours (Å) after each atom.
Fractional positions:
N: 0.1233 0.2465 0.9256  2 Tc 2.01-2.02, 3 Li 2.05-2.08
N: 0.4082 0.8164 0.7089  2 Tc 1.92, 1 Li 2.11
Li: 0.6959 0.3918 0.0635  4 N 2.05-2.11
Li: 0.3041 0.6082 0.9365  4 N 2.05-2.11
Tc: 0.9473 0.8945 0.8223  4 N 1.92-2.02
N: 0.5918 0.1836 0.2911  2 Tc 1.92, 1 Li 2.11
Na: 0.3671 0.7341 0.3557  3 N 2.38-2.61
Tc: 0.0527 0.1055 0.1777  4 N 1.92-2.02
N: 0.8767 0.7535 0.0744  2 Tc 2.01-2.02, 3 Li 2.05-2.08
Na: 0.6329 0.2659 0.6443  3 N 2.38-2.61

No. 7
DFT (GGA-PBE) results for a relaxed Na2LiTc2N4 crystal.

Computed properties:
* space group: C2/m (12)
* E: -59.98 eV for the cell shown
* E_form (uncorrected): -156 meV per atom

Cell: 3.2834 6.8303 6.4693 Å, 118.40 90.00 103.91°
With the nearest neighbours (Å) after each atom.
Fractional positions:
Tc: 0.6675 0.3350 0.9722  1 N 1.76
Li: 0.0000 0.0000 0.0000  4 N 2.23
N: 0.4834 0.9668 0.2144  1 Tc 1.76
N: 0.7713 0.5426 0.8129  3 Tc 2.04-2.08
Tc: 0.3325 0.6650 0.0278  1 N 1.76
N: 0.5166 0.0332 0.7856  1 Tc 1.76
Na: 0.8703 0.7406 0.5152  4 N 2.49-2.61, 1 Li 2.74
N: 0.2287 0.4574 0.1871  3 Tc 2.04-2.08
Na: 0.1297 0.2594 0.4848  4 N 2.49-2.61, 1 Li 2.74

No. 8
DFT (GGA-PBE) results for a relaxed Na2LiTeN crystal.

Computed properties:
* space group: P4/mmm (123)
* E: -16.54 eV for the cell shown
* E_form (uncorrected): -104 meV per atom

Cell: 5.0310 4.0369 5.0310 Å, 90.00 90.00 90.00°
With the nearest neighbours (Å) after each atom.
Fractional positions:
Te: 0.5000 0.5000 0.5000  8 Na 3.23, 4 Li 3.56
Li: 0.0000 0.5000 0.0000  2 N 2.02
N: 0.0000 0.0000 0.0000  2 Li 2.02
Na: 0.0000 0.0000 0.5000  2 N 2.52
Na: 0.5000 0.0000 0.0000  2 N 2.52